Compound: CoPS
Source: Alexandria via LeMat-Bulk
Functional: PBE
Structure: relaxed

Lattice parameters (Å, degrees): 5.4138 5.4138 5.4138 90.00 90.00 90.00
With the nearest neighbours (Å) after each atom.
Space group P2_13 (No. 198)
Inequivalent atoms, fractional coordinates:
Co 0.0023 0.0023 0.0023 (multiplicity 4)  3 P 2.25, 3 S 2.27
P 0.1149 0.8851 0.3851 (multiplicity 4)  1 S 2.17, 3 Co 2.25
S 0.1160 0.6160 0.8840 (multiplicity 4)  1 P 2.17, 3 Co 2.27

Summary:
- E: -6.09 eV/atom
- Energy relative to the elements, uncorrected: -52.8 kJ/mol of atoms
- Density: 5.1 g/cm³